A relaxed structure of LiTi2P2, computed with GGA-PBE.

Structure (CIF):
```
data_LiTi2P2
_cell_length_a 6.626
_cell_length_b 6.626
_cell_length_c 3.305
_cell_angle_alpha 90.00
_cell_angle_beta 90.00
_cell_angle_gamma 90.00
_symmetry_space_group_name_H-M 'P 4/m b m'
_symmetry_Int_Tables_number 127
_symmetry_space_group_name_Hall '-P 4 2ab'
loop_
_atom_site_label
_atom_site_type_symbol
_atom_site_fract_x
_atom_site_fract_y
_atom_site_fract_z
Li1 Li 0.000 0.000 0.000
Ti1 Ti 0.150 0.350 0.500
P1 P 0.146 0.646 0.000
```

Values from the calculation:
Crystal system: tetragonal
VASP energy in eV per formula unit: -33.11
Formation energy in eV/atom: -0.917